This record from the Alexandria database describes a relaxed Tc2BiMoS crystal. The functional is PBE.

Results
Uncorrected formation energy (meV per atom): 1093.0

Cell lengths 4.851, 4.851, 4.547 Å; angles 90.00, 90.00, 90.00 degrees
Fractional coordinates of all 5 atoms:
Tc1 0.000 0.500 0.000
Tc2 0.500 0.000 0.000
Bi1 0.000 0.000 0.500
Mo1 0.500 0.500 0.000
S1 0.500 0.500 0.500

=====

This record from the Alexandria database describes a relaxed Ba2TlIn4Ga3 crystal. The functional is PBE.

Results
Total DFT energy (no corrections) (eV per atom): -2.965

Cell lengths 5.005, 5.005, 11.460 Å; angles 90.00, 90.00, 90.00 degrees
Fractional coordinates of all 10 atoms:
Ba1 0.000 0.500 0.249
Ba2 0.500 0.000 0.751
Tl1 0.000 0.000 0.500
In1 0.000 0.000 0.000
In2 0.000 0.500 0.636
In3 0.500 0.000 0.364
In4 0.500 0.500 0.000
Ga1 0.000 0.500 0.875
Ga2 0.500 0.000 0.125
Ga3 0.500 0.500 0.500

=====

This record from the Alexandria database describes a relaxed Tb6Sm3Sc crystal. The functional is PBE.

Results
ΔE to the lowest computed polymorph (meV/atom): 0

Cell lengths 10.926, 10.926, 6.254 Å; angles 90.00, 90.00, 120.19 degrees
Fractional coordinates of all 20 atoms:
Tb1 0.045 0.955 0.500
Tb2 0.047 0.467 0.041
Tb3 0.277 0.723 0.764
Tb4 0.289 0.379 0.858
Tb5 0.379 0.289 0.358
Tb6 0.467 0.047 0.541
Tb7 0.533 0.953 0.041
Tb8 0.621 0.711 0.858
Tb9 0.711 0.621 0.358
Tb10 0.723 0.277 0.264
Tb11 0.953 0.533 0.541
Tb12 0.955 0.045 0.000
Sm1 0.055 0.281 0.449
Sm2 0.281 0.055 0.949
Sm3 0.387 0.613 0.335
Sm4 0.613 0.387 0.835
Sm5 0.719 0.945 0.449
Sm6 0.945 0.719 0.949
Sc1 0.202 0.798 0.279
Sc2 0.798 0.202 0.779

=====

This record from the Alexandria database describes a relaxed Ac6Pb3Au2 crystal. The functional is PBE.

Results
Total DFT energy (no corrections) (eV per atom): -4.182

Cell lengths 15.053, 15.053, 15.053 Å; angles 158.62, 158.62, 30.42 degrees
Fractional coordinates of all 11 atoms:
Ac1 0.077 0.577 0.500
Ac2 0.218 0.218 0.000
Ac3 0.423 0.923 0.500
Ac4 0.577 0.077 0.500
Ac5 0.782 0.782 0.000
Ac6 0.923 0.423 0.500
Pb1 0.336 0.336 0.000
Pb2 0.500 0.500 0.000
Pb3 0.664 0.664 0.000
Au1 0.115 0.115 0.000
Au2 0.885 0.885 0.000

=====

This record from the Alexandria database describes a relaxed Cs2TlSi2 crystal. The functional is PBE.

Results
Uncorrected formation energy (meV per atom): 249.8

Cell lengths 8.496, 8.496, 5.680 Å; angles 90.00, 90.00, 90.00 degrees
Fractional coordinates of all 10 atoms:
Cs1 0.206 0.294 0.000
Cs2 0.294 0.794 0.000
Cs3 0.706 0.206 0.000
Cs4 0.794 0.706 0.000
Tl1 0.000 0.000 0.500
Tl2 0.500 0.500 0.500
Si1 0.091 0.591 0.500
Si2 0.409 0.091 0.500
Si3 0.591 0.909 0.500
Si4 0.909 0.409 0.500

=====

This record from the Alexandria database describes a relaxed TiSiGe crystal. The functional is PBE.

Results
Uncorrected formation energy (meV per atom): -466.5
ΔE to the lowest computed polymorph (meV/atom): 21

Cell lengths 6.073, 4.891, 5.006 Å; angles 75.70, 51.29, 53.01 degrees
Fractional coordinates of all 6 atoms:
Ti1 0.000 0.000 0.000
Ti2 0.250 0.250 0.250
Si1 0.668 0.668 0.332
Si2 0.918 0.918 0.582
Ge1 0.337 0.337 0.663
Ge2 0.587 0.587 0.913

=====

This record from the Alexandria database describes a relaxed Er3Ge2C crystal. The functional is PBE.

Results
Total DFT energy (no corrections) (eV per atom): -5.575

Cell lengths 8.431, 8.431, 8.431 Å; angles 155.42, 147.00, 41.57 degrees
Fractional coordinates of all 6 atoms:
Er1 0.000 0.000 0.000
Er2 0.346 0.846 0.500
Er3 0.654 0.154 0.500
Ge1 0.156 0.656 0.500
Ge2 0.844 0.344 0.500
C1 0.500 0.000 0.500

=====

This record from the Alexandria database describes a relaxed NdBiPt crystal. The functional is PBE.

Results
Total DFT energy (no corrections) (eV per atom): -5.725

Cell lengths 4.655, 4.655, 4.230 Å; angles 90.00, 90.00, 120.00 degrees
Fractional coordinates of all 3 atoms:
Nd1 0.000 0.000 0.000
Bi1 0.667 0.333 0.517
Pt1 0.333 0.667 0.381

=====

Q: Which magnetic moment values were calculated for the entries above? A: 2.3, 0.0, 0.0, 0.1, 0.0, 0.0, 0.0, 0.0, in μB per formula unit.